(1)
Density functional theory data (GGA-PBE) for an optimized crystal structure of GaAsCCl2.

a b c (Å): 4.704 5.261 4.704
angles (deg): 90.00 90.00 90.00
Last column: magnetic moment on the atom in μB.
Positions (direct):
As 0.000 0.500 0.000  -0.41
C 0.500 0.500 0.500  0.75
Ga 0.000 0.000 0.000  0.01
Cl 0.000 0.000 0.500  -0.01
Cl 0.500 0.000 0.000  0.00

Properties
Its space group is P4/mmm, No. 123. The uncorrected formation energy is 1.307 eV per atom. The total moment is 0.7 μB/cell.

***

(2)
Density functional theory data (GGA-PBE) for an optimized crystal structure of Na2YAsSe4.

a b c (Å): 8.246 8.246 8.324
angles (deg): 120.32 120.32 90.08
Positions (direct):
Na 0.500 0.000 0.000
Na 0.500 0.000 0.500
Na 0.000 0.000 0.500
Na 0.500 0.500 0.000
Y 0.000 0.500 0.000
Y 0.000 0.500 0.500
As 0.500 0.500 0.500
As 0.000 0.000 0.000
Se 0.229 0.755 0.992
Se 0.745 0.271 0.508
Se 0.255 0.729 0.492
Se 0.771 0.245 0.008
Se 0.754 0.746 0.976
Se 0.754 0.746 0.524
Se 0.246 0.254 0.476
Se 0.246 0.254 0.024

Properties
Its space group is Imma, No. 74. The uncorrected formation energy is -1.091 eV per atom. The total moment is 0.0 μB/cell.